CsBiN2 | PBE-GGA | relaxed

Cell: 7.847 7.847 7.847 Å, 35.59 35.59 35.59°
Sites, in units of the cell vectors:
Cs  0.000  0.000  0.000
Bi  0.500  0.500  0.500
N  0.410  0.410  0.410
N  0.590  0.590  0.590

Magnetic moment   0.00 μB/f.u.
Uncorrected formation energy   4.94 eV per formula unit
Final energy   -4.110 eV/atom
Fermi-level density of states   0.00 states/eV/cell